SiBPd6Au2: relaxed, GGA-PBE.

Its total energy is -52.29 eV per cell. The calculation puts the uncorrected formation energy at -0.25 eV per atom. The density of states at the Fermi level is 3.543 states/eV/cell. Its density is 11505 kg/m³.

The structure belongs to space group P-1 (No. 2); the cell edges are 5.302, 5.571 and 5.705 Å and the angles 74.47°, 73.07° and 80.53°. The inequivalent atoms are Si at (0.000, 0.000, 0.000), B at (0.500, 0.500, 0.500), Pd at (0.210, 0.636, 0.795), Pd at (0.210, 0.642, 0.291), Pd at (0.324, 0.166, 0.624) and Au at (0.328, 0.182, 0.132).